Entry 1:
Entry from Alexandria: ScAs2SeN after structural relaxation (PBE).

- Energy above the lowest structure with this stoichiometry: 86.0 kJ per mole of atoms
- Raw formation energy: 1.07 eV per atom
- Crystal system: tetragonal
- Energy: -4.415 eV per atom
- Size of the total moment: 2.13 Bohr magnetons per cell

```
data_ScAs2SeN
_chemical_formula_sum 'Sc1 As2 Se1 N1'
_cell_length_a 5.169
_cell_length_b 5.169
_cell_length_c 5.092
_cell_angle_alpha 90.00
_cell_angle_beta 90.00
_cell_angle_gamma 90.00
_symmetry_space_group_name_H-M 'P 4/m m m'
_symmetry_Int_Tables_number 123
_symmetry_space_group_name_Hall '-P 4 2'
loop_
_atom_site_label
_atom_site_type_symbol
_atom_site_fract_x
_atom_site_fract_y
_atom_site_fract_z
_atom_site_occupancy
Sc1 Sc 0.000 0.000 0.000 1
As1 As 0.000 0.500 0.000 1
Se1 Se 0.000 0.000 0.500 1
N1 N 0.500 0.500 0.500 1
```

Entry 2:
Entry from Alexandria: Ba3AcPm3Se8 after structural relaxation (PBE).

- Raw formation energy: -1.94 eV per atom
- Crystal system: trigonal
- Energy: -5.404 eV per atom
- Size of the total moment: 0.00 Bohr magnetons per cell

```
data_Ba3AcPm3Se8
_chemical_formula_sum 'Ba9 Ac3 Pm9 Se24'
_cell_length_a 8.7159
_cell_length_b 8.7159
_cell_length_c 22.6241
_cell_angle_alpha 90.00
_cell_angle_beta 90.00
_cell_angle_gamma 120.00
_symmetry_space_group_name_H-M 'R -3 m'
_symmetry_Int_Tables_number 166
_symmetry_space_group_name_Hall '-R 3 2"'
loop_
_atom_site_label
_atom_site_type_symbol
_atom_site_fract_x
_atom_site_fract_y
_atom_site_fract_z
_atom_site_occupancy
Ba1 Ba 0.0000 0.5000 0.0000 1
Ac1 Ac 0.0000 0.0000 0.5000 1
Pm1 Pm 0.0000 0.5000 0.5000 1
Se1 Se 0.0000 0.0000 0.2402 1
Se2 Se 0.0123 0.5062 0.7586 1
```

Entry 3:
Entry from Alexandria: Ag2RhPb after structural relaxation (PBE).

- Crystal system: monoclinic
- Energy: -4.026 eV per atom
- DFT formation energy: 64 kJ/mol of formula units
- Size of the total moment: 0.00 Bohr magnetons per cell

```
data_Ag2RhPb
_chemical_formula_sum 'Ag4 Rh2 Pb2'
_cell_length_a 9.331
_cell_length_b 3.231
_cell_length_c 5.193
_cell_angle_alpha 90.00
_cell_angle_beta 102.05
_cell_angle_gamma 90.00
_symmetry_space_group_name_H-M 'C 1 m 1'
_symmetry_Int_Tables_number 8
_symmetry_space_group_name_Hall 'C -2y'
loop_
_atom_site_label
_atom_site_type_symbol
_atom_site_fract_x
_atom_site_fract_y
_atom_site_fract_z
_atom_site_occupancy
Ag1 Ag 0.000 0.000 0.000 1
Ag2 Ag 0.249 0.500 0.205 1
Rh1 Rh 0.490 0.000 0.484 1
Pb1 Pb 0.234 0.000 0.683 1
```

Entry 4:
Entry from Alexandria: CsLiMo3 after structural relaxation (PBE).

- Energy above the lowest structure with this stoichiometry: 65.5 kJ per mole of atoms
- Crystal system: cubic
- Energy: -4.009 eV per atom
- DFT formation energy: 1468 kJ/mol of formula units
- Size of the total moment: 0.00 Bohr magnetons per cell

```
data_CsLiMo3
_chemical_formula_sum 'Cs1 Li1 Mo3'
_cell_length_a 4.940
_cell_length_b 4.940
_cell_length_c 4.940
_cell_angle_alpha 90.00
_cell_angle_beta 90.00
_cell_angle_gamma 90.00
_symmetry_space_group_name_H-M 'P m -3 m'
_symmetry_Int_Tables_number 221
_symmetry_space_group_name_Hall '-P 4 2 3'
loop_
_atom_site_label
_atom_site_type_symbol
_atom_site_fract_x
_atom_site_fract_y
_atom_site_fract_z
_atom_site_occupancy
Cs1 Cs 0.000 0.000 0.000 1
Li1 Li 0.500 0.500 0.500 1
Mo1 Mo 0.000 0.000 0.500 1
```

Entry 5:
Entry from Alexandria: CsOF3 after structural relaxation (PBE).

- Energy above the lowest structure with this stoichiometry: 17.0 kJ per mole of atoms
- Raw formation energy: -1.04 eV per atom
- Crystal system: orthorhombic
- Energy: -3.328 eV per atom
- Size of the total moment: 0.00 Bohr magnetons per cell

```
data_CsOF3
_chemical_formula_sum 'Cs4 O4 F12'
_cell_length_a 5.509
_cell_length_b 9.540
_cell_length_c 8.073
_cell_angle_alpha 90.00
_cell_angle_beta 90.00
_cell_angle_gamma 90.00
_symmetry_space_group_name_H-M 'P n m a'
_symmetry_Int_Tables_number 62
_symmetry_space_group_name_Hall '-P 2ac 2n'
loop_
_atom_site_label
_atom_site_type_symbol
_atom_site_fract_x
_atom_site_fract_y
_atom_site_fract_z
_atom_site_occupancy
Cs1 Cs 0.000 0.000 0.000 1
O1 O 0.045 0.250 0.454 1
F1 F 0.011 0.599 0.643 1
F2 F 0.166 0.250 0.644 1
```

Entry 6:
Entry from Alexandria: Tb4Tl3Pt after structural relaxation (PBE).

- Crystal system: tetragonal
- Energy: -4.531 eV per atom
- DFT formation energy: -443 kJ/mol of formula units
- Size of the total moment: 0.00 Bohr magnetons per cell

```
data_Tb4Tl3Pt
_chemical_formula_sum 'Tb4 Tl3 Pt1'
_cell_length_a 3.628
_cell_length_b 3.628
_cell_length_c 15.867
_cell_angle_alpha 90.00
_cell_angle_beta 90.00
_cell_angle_gamma 90.00
_symmetry_space_group_name_H-M 'P 4/m m m'
_symmetry_Int_Tables_number 123
_symmetry_space_group_name_Hall '-P 4 2'
loop_
_atom_site_label
_atom_site_type_symbol
_atom_site_fract_x
_atom_site_fract_y
_atom_site_fract_z
_atom_site_occupancy
Tb1 Tb 0.000 0.000 0.105 1
Tb2 Tb 0.000 0.000 0.368 1
Tl1 Tl 0.500 0.500 0.240 1
Tl2 Tl 0.500 0.500 0.500 1
Pt1 Pt 0.500 0.500 0.000 1
```

Entry 7:
Entry from Alexandria: Dy6Sn2Te3As after structural relaxation (PBE).

- Raw formation energy: -1.19 eV per atom
- Crystal system: monoclinic
- Energy: -5.332 eV per atom
- Size of the total moment: 0.00 Bohr magnetons per cell

```
data_Dy6Sn2Te3As
_chemical_formula_sum 'Dy12 Sn4 Te6 As2'
_cell_length_a 18.955
_cell_length_b 4.331
_cell_length_c 8.723
_cell_angle_alpha 90.00
_cell_angle_beta 103.57
_cell_angle_gamma 90.00
_symmetry_space_group_name_H-M 'C 1 2/m 1'
_symmetry_Int_Tables_number 12
_symmetry_space_group_name_Hall '-C 2y'
loop_
_atom_site_label
_atom_site_type_symbol
_atom_site_fract_x
_atom_site_fract_y
_atom_site_fract_z
_atom_site_occupancy
Dy1 Dy 0.003 0.000 0.230 1
Dy2 Dy 0.158 0.500 0.087 1
Dy3 Dy 0.168 0.500 0.575 1
Sn1 Sn 0.166 0.000 0.331 1
Te1 Te 0.000 0.500 0.500 1
Te2 Te 0.167 0.000 0.834 1
As1 As 0.000 0.500 0.000 1
```

Entry 8:
Entry from Alexandria: TiPdC2 after structural relaxation (PBE).

- Energy above the lowest structure with this stoichiometry: 29.9 kJ per mole of atoms
- Crystal system: cubic
- Energy: -6.914 eV per atom
- DFT formation energy: 374 kJ/mol of formula units
- Size of the total moment: 0.00 Bohr magnetons per cell

```
data_TiPdC2
_chemical_formula_sum 'Ti4 Pd4 C8'
_cell_length_a 5.470
_cell_length_b 5.470
_cell_length_c 5.470
_cell_angle_alpha 90.00
_cell_angle_beta 90.00
_cell_angle_gamma 90.00
_symmetry_space_group_name_H-M 'F m -3 m'
_symmetry_Int_Tables_number 225
_symmetry_space_group_name_Hall '-F 4 2 3'
loop_
_atom_site_label
_atom_site_type_symbol
_atom_site_fract_x
_atom_site_fract_y
_atom_site_fract_z
_atom_site_occupancy
Ti1 Ti 0.000 0.000 0.000 1
Pd1 Pd 0.000 0.000 0.500 1
C1 C 0.250 0.250 0.250 1
```

- The highest energy belongs to which entry?
  CsOF3